Ce2MoN4 | PBE | relaxed

POSCAR file:
```
Ce2MoN4
1.0
5.9740 0.0000 0.0110
0.0000 5.8873 0.0000
-2.1805 0.0000 6.4462
Ce Mo N
4 2 8
direct
0.7738 0.7500 0.5659
0.3149 0.2500 0.9640
0.2262 0.2500 0.4341
0.6851 0.7500 0.0360
0.7677 0.2500 0.8081
0.2323 0.7500 0.1919
0.5509 0.4956 0.7530
0.9702 0.2500 0.6453
0.0437 0.7500 0.9148
0.4491 0.9956 0.2470
0.4491 0.5044 0.2470
0.5509 0.0044 0.7530
0.9563 0.2500 0.0852
0.0298 0.7500 0.3547
```

Calculated values
Crystal system: monoclinic
Energy relative to the elements, uncorrected: -0.97 eV per atom
M_tot: 1.963 μB per formula unit
Volume: 113.4 Å³/f.u.
Calculated density: 6.33 g/cm³



CeMoN4 | PBE | relaxed

POSCAR file:
```
CeMoN4
1.0
5.2551 0.0000 0.0000
0.0000 5.2551 0.0000
-2.6275 -2.6275 5.8113
N Mo Ce
8 2 2
direct
0.0865 0.6828 0.6790
0.6635 0.5672 0.8210
0.7462 0.3365 0.1790
0.5925 0.9962 0.6790
0.3172 0.4075 0.3210
0.1575 0.2538 0.8210
0.4328 0.8425 0.1790
0.0038 0.9135 0.3210
0.5000 0.5000 0.0000
0.2500 0.7500 0.5000
0.7500 0.2500 0.5000
0.0000 0.0000 0.0000
```

Calculated values
Crystal system: tetragonal
Energy relative to the elements, uncorrected: -0.20 eV per atom
M_tot: 0.001 μB per formula unit
Volume: 80.2 Å³/f.u.
Calculated density: 6.04 g/cm³



Ce5Mo2N12 | PBE | relaxed

POSCAR file:
```
Ce5Mo2N12
1.0
-4.1943 -1.4112 -4.0607
5.5113 -4.2595 0.2294
-4.6254 -2.2943 5.5750
N Mo Ce
12 2 5
direct
0.4353 0.3295 0.0821
0.9099 0.3135 0.5780
0.4998 0.9996 0.1850
0.5002 0.0004 0.8150
0.5965 0.6865 0.4220
0.5647 0.6705 0.9179
0.0901 0.6865 0.4220
0.8942 0.3295 0.0821
0.9993 0.9986 0.8197
0.4035 0.3135 0.5780
0.1058 0.6705 0.9179
0.0007 0.0014 0.1803
0.7608 0.0000 0.0000
0.2392 0.0000 0.0000
0.3111 0.6223 0.1674
0.3085 0.6169 0.6439
0.6915 0.3831 0.3561
0.0000 0.0000 0.5000
0.6889 0.3777 0.8326
```

Calculated values
Crystal system: monoclinic
Energy relative to the elements, uncorrected: -0.65 eV per atom
M_tot: 2.190 μB per formula unit
Volume: 273.6 Å³/f.u.
Calculated density: 6.44 g/cm³



Ce2Mo2N7 | PBE | relaxed

POSCAR file:
```
Ce2Mo2N7
1.0
-3.3355 3.9691 0.5953
-3.6725 -3.5734 -3.2248
-0.1879 -1.9860 5.7163
N Ce Mo
7 2 2
direct
0.2970 0.9195 0.6012
0.2970 0.6012 0.9195
0.7030 0.0805 0.3988
0.7785 0.5884 0.5884
0.2215 0.4116 0.4116
0.7030 0.3988 0.0805
0.0000 0.0000 0.0000
0.5000 0.3050 0.6950
0.5000 0.6950 0.3050
0.1012 0.7654 0.7654
0.8988 0.2346 0.2346
```

Calculated values
Crystal system: monoclinic
Energy relative to the elements, uncorrected: -0.61 eV per atom
M_tot: 0.981 μB per formula unit
Volume: 179.2 Å³/f.u.
Calculated density: 5.28 g/cm³



Ce5MoN6 | PBE | relaxed

POSCAR file:
```
Ce5MoN6
1.0
-3.2960 -5.0058 0.3178
2.5377 -3.8324 3.8693
-1.5042 0.1554 5.8052
Ce N Mo
5 6 1
direct
0.0000 0.6665 0.6669
0.0000 0.3335 0.3331
0.5000 0.1666 0.6669
0.5000 0.5000 0.0000
0.5000 0.8334 0.3331
0.7588 0.7661 0.0000
0.7649 0.3921 0.6862
0.7649 0.0782 0.3138
0.2351 0.9218 0.6862
0.2351 0.6079 0.3138
0.2412 0.2339 0.0000
0.0000 0.0000 0.0000
```

Calculated values
Crystal system: monoclinic
Energy relative to the elements, uncorrected: -1.31 eV per atom
M_tot: 0.000 μB per formula unit
Volume: 176.5 Å³/f.u.
Calculated density: 8.29 g/cm³



Ce2MoN4 | PBE | relaxed

POSCAR file:
```
Ce2MoN4
1.0
3.9429 0.0000 0.0000
0.0000 3.9429 0.0000
1.9715 1.9715 6.1166
Ce N Mo
2 4 1
direct
0.6446 0.6446 0.7109
0.3554 0.3554 0.2891
0.1775 0.1775 0.6450
0.0000 0.5000 0.0000
0.8225 0.8225 0.3550
0.5000 0.0000 0.0000
0.0000 0.0000 0.0000
```

Calculated values
Crystal system: tetragonal
Energy relative to the elements, uncorrected: -1.10 eV per atom
M_tot: 0.000 μB per formula unit
Volume: 95.1 Å³/f.u.
Calculated density: 7.55 g/cm³



CeMoN | PBE | relaxed

POSCAR file:
```
CeMoN
1.0
2.8615 0.0000 0.0000
0.0000 2.8615 0.0000
-1.4308 -1.4308 5.5779
N Ce Mo
1 1 1
direct
0.7130 0.7130 0.4259
0.0069 0.0069 0.0138
0.2802 0.2802 0.5603
```

Calculated values
Crystal system: tetragonal
Energy relative to the elements, uncorrected: -0.13 eV per atom
M_tot: 0.000 μB per formula unit
Volume: 45.7 Å³/f.u.
Calculated density: 9.09 g/cm³



Ce2MoN4 | PBE | relaxed

POSCAR file:
```
Ce2MoN4
1.0
-3.8690 3.5883 -1.6526
-1.4032 -3.4816 -4.2745
-2.1317 -4.5353 4.3938
N Ce Mo
8 4 2
direct
0.7337 0.2500 0.9674
0.2337 0.2500 0.9674
0.3217 0.5641 0.6434
0.8217 0.9359 0.6434
0.6783 0.4359 0.3566
0.2663 0.7500 0.0326
0.1783 0.0641 0.3566
0.7663 0.7500 0.0326
0.6438 0.0196 0.2877
0.1438 0.4804 0.2877
0.8562 0.5196 0.7123
0.3562 0.9804 0.7123
0.0000 0.0000 0.0000
0.5000 0.5000 0.0000
```

Calculated values
Crystal system: orthorhombic
Energy relative to the elements, uncorrected: -1.12 eV per atom
M_tot: 0.000 μB per formula unit
Volume: 95.4 Å³/f.u.
Calculated density: 7.52 g/cm³



Ce3Mo5N12 | PBE | relaxed

POSCAR file:
```
Ce3Mo5N12
1.0
11.1566 0.0000 0.0000
-3.7189 10.5185 0.0000
-3.7189 -5.2593 9.1093
Mo N Ce
20 48 12
direct
0.3750 0.2500 0.1250
0.3750 0.1250 0.7500
0.2500 0.3750 0.6250
0.6250 0.7500 0.8750
0.5000 0.5000 0.0000
0.1250 0.7500 0.3750
0.7500 0.6250 0.3750
0.1250 0.3750 0.2500
0.8750 0.6250 0.7500
0.2500 0.8750 0.1250
0.5000 0.5000 0.5000
0.5000 0.0000 0.5000
0.7500 0.1250 0.8750
0.5000 0.0000 0.0000
0.0000 0.5000 0.5000
0.0000 0.0000 0.0000
0.6250 0.8750 0.2500
0.0000 0.5000 0.0000
0.0000 0.0000 0.5000
0.8750 0.2500 0.6250
0.0812 0.1812 0.2008
0.5999 0.6196 0.4188
0.0196 0.6196 0.7008
0.3804 0.4001 0.0812
0.9804 0.3804 0.2992
0.6196 0.0196 0.2008
0.8188 0.9188 0.2992
0.3188 0.5196 0.4001
0.9804 0.5999 0.1812
0.8804 0.5812 0.9001
0.0999 0.9188 0.1196
0.9188 0.8188 0.7992
0.2008 0.6812 0.0812
0.6812 0.4804 0.5999
0.1812 0.0812 0.7008
0.0196 0.4001 0.8188
0.8804 0.2992 0.4804
0.7992 0.3188 0.9188
0.3804 0.9804 0.7992
0.9001 0.0812 0.8804
0.4188 0.1196 0.5999
0.5812 0.8804 0.4001
0.1196 0.7008 0.5196
0.2008 0.5196 0.6196
0.0812 0.9001 0.3804
0.8188 0.9001 0.0196
0.1196 0.4188 0.0999
0.4804 0.7992 0.8804
0.4188 0.2992 0.3188
0.2992 0.4188 0.8188
0.6196 0.5999 0.9188
0.4001 0.0196 0.3188
0.9001 0.8188 0.5196
0.7008 0.1196 0.0196
0.5196 0.3188 0.9001
0.6812 0.2008 0.5812
0.3188 0.7992 0.4188
0.4804 0.6812 0.0999
0.4001 0.3804 0.5812
0.7992 0.4804 0.3804
0.5999 0.9804 0.6812
0.0999 0.1812 0.4804
0.5196 0.2008 0.1196
0.2992 0.8804 0.9804
0.1812 0.0999 0.9804
0.5812 0.7008 0.6812
0.7008 0.5812 0.1812
0.9188 0.0999 0.6196
0.8750 0.7500 0.1250
0.6250 0.2500 0.3750
0.1250 0.8750 0.7500
0.1250 0.2500 0.8750
0.7500 0.8750 0.6250
0.8750 0.1250 0.2500
0.2500 0.1250 0.3750
0.3750 0.6250 0.2500
0.3750 0.7500 0.6250
0.7500 0.3750 0.1250
0.6250 0.3750 0.7500
0.2500 0.6250 0.8750
```

Calculated values
Crystal system: cubic
Energy relative to the elements, uncorrected: -0.74 eV per atom
M_tot: 0.001 μB per formula unit
Volume: 267.2 Å³/f.u.
Calculated density: 6.64 g/cm³



CeMo2N6 | PBE | relaxed

POSCAR file:
```
CeMo2N6
1.0
3.9502 0.0000 0.0000
1.9751 5.6411 -0.0593
1.9751 2.2615 5.5826
N Mo Ce
6 2 1
direct
0.6302 0.2763 0.4633
0.2520 0.3776 0.1183
0.0361 0.0465 0.8814
0.3698 0.7237 0.5367
0.7480 0.6224 0.8817
0.9639 0.9535 0.1186
0.7791 0.2777 0.1642
0.2209 0.7223 0.8358
0.0000 0.5000 0.5000
```

Calculated values
Crystal system: monoclinic
Energy relative to the elements, uncorrected: -0.34 eV per atom
M_tot: 0.163 μB per formula unit
Volume: 124.9 Å³/f.u.
Calculated density: 5.53 g/cm³



Ce6MoN8 | PBE | relaxed

POSCAR file:
```
Ce6MoN8
1.0
-6.6605 -1.9171 -0.3344
-1.6791 -6.7326 0.0470
-3.0980 -2.7644 5.5597
N Ce Mo
8 6 1
direct
0.2500 0.2500 0.2500
0.7806 0.7806 0.2194
0.7500 0.7500 0.7500
0.2194 0.2194 0.7806
0.2194 0.7806 0.2194
0.2194 0.7806 0.7806
0.7806 0.2194 0.2194
0.7806 0.2194 0.7806
0.5000 0.5000 0.0000
0.0000 0.5000 0.5000
0.5000 0.0000 0.5000
0.5000 0.0000 0.0000
0.0000 0.5000 0.0000
0.0000 0.0000 0.5000
0.0000 0.0000 0.0000
```

Calculated values
Crystal system: cubic
Energy relative to the elements, uncorrected: -1.22 eV per atom
M_tot: 0.253 μB per formula unit
Volume: 236.2 Å³/f.u.
Calculated density: 7.37 g/cm³



Na2CeMoN4 | PBE | relaxed

POSCAR file:
```
Na2CeMoN4
1.0
-0.1640 -1.8467 4.7735
7.0935 0.3420 0.3760
-0.4565 6.6544 2.5587
Na N Mo Ce
4 8 2 2
direct
0.9538 0.6433 0.7550
0.4538 0.3567 0.2550
0.9538 0.6433 0.2450
0.4538 0.3567 0.7450
0.4237 0.6990 0.7309
0.9237 0.3010 0.7691
0.9237 0.3010 0.2309
0.4305 0.0818 0.5000
0.8607 0.8379 0.5000
0.9305 0.9182 0.0000
0.3607 0.1621 0.0000
0.4237 0.6990 0.2691
0.5023 0.8216 0.5000
0.0023 0.1784 0.0000
0.4516 0.8633 0.0000
0.9516 0.1367 0.5000
```

Calculated values
Crystal system: orthorhombic
Energy relative to the elements, uncorrected: -0.67 eV per atom
M_tot: 0.000 μB per formula unit
Volume: 130.1 Å³/f.u.
Calculated density: 4.32 g/cm³



NaCe2MoN4 | PBE | relaxed

POSCAR file:
```
NaCe2MoN4
1.0
-0.9928 3.0686 1.5162
-3.2370 -4.6457 3.0944
9.1190 -1.0121 8.0196
Ce Mo N Na
4 2 8 2
direct
0.6301 0.2602 0.4599
0.6301 0.2602 0.0401
0.3699 0.7398 0.9599
0.3699 0.7398 0.5401
0.1747 0.3494 0.2500
0.8253 0.6506 0.7500
0.0000 0.0000 0.5000
0.6028 0.2055 0.2500
0.2487 0.4973 0.3903
0.7513 0.5027 0.6097
0.0000 0.0000 0.0000
0.3972 0.7945 0.7500
0.2487 0.4973 0.1097
0.7513 0.5027 0.8903
0.0832 0.1664 0.7500
0.9168 0.8336 0.2500
```

Calculated values
Crystal system: orthorhombic
Energy relative to the elements, uncorrected: -0.85 eV per atom
M_tot: 0.000 μB per formula unit
Volume: 134.7 Å³/f.u.
Calculated density: 5.61 g/cm³



CeNbMoN3 | PBE | relaxed

POSCAR file:
```
CeNbMoN3
1.0
3.1283 0.0000 0.0000
0.0000 6.8202 0.5308
0.0000 -2.0662 7.7222
N Nb Ce Mo
6 2 2 2
direct
0.2500 0.1276 0.8642
0.7500 0.4278 0.1480
0.7500 0.1839 0.4339
0.2500 0.8161 0.5661
0.2500 0.5722 0.8520
0.7500 0.8724 0.1358
0.2500 0.6456 0.1233
0.7500 0.3544 0.8767
0.7500 0.8270 0.8081
0.2500 0.1730 0.1919
0.2500 0.1314 0.5938
0.7500 0.8686 0.4062
```

Calculated values
Crystal system: monoclinic
Energy relative to the elements, uncorrected: -0.96 eV per atom
M_tot: 0.000 μB per formula unit
Volume: 84.1 Å³/f.u.
Calculated density: 7.33 g/cm³



Ce2NbMoN5 | PBE | relaxed

POSCAR file:
```
Ce2NbMoN5
1.0
-1.4057 0.2814 3.0347
6.4482 -1.9075 1.3077
2.8492 9.9066 0.4011
N Nb Mo Ce
10 2 2 4
direct
0.4900 0.9801 0.7833
0.5100 0.0199 0.2833
0.7186 0.4372 0.1517
0.2814 0.5628 0.6517
0.0496 0.0993 0.0594
0.6819 0.3639 0.8717
0.6310 0.2619 0.5014
0.9504 0.9007 0.5594
0.3181 0.6361 0.3717
0.3690 0.7381 0.0014
0.2129 0.4258 0.0070
0.7871 0.5742 0.5070
0.5293 0.0585 0.9641
0.4707 0.9415 0.4641
0.8882 0.7764 0.1892
0.1118 0.2236 0.6892
0.1459 0.2918 0.2961
0.8541 0.7082 0.7961
```

Calculated values
Crystal system: orthorhombic
Energy relative to the elements, uncorrected: -1.13 eV per atom
M_tot: 0.000 μB per formula unit
Volume: 115.0 Å³/f.u.
Calculated density: 7.79 g/cm³



Ce2NdMoN4 | PBE | relaxed

POSCAR file:
```
Ce2NdMoN4
1.0
-0.0877 -2.2496 -2.6734
0.5874 -3.4541 5.1719
-11.7452 -0.6284 0.9143
N Ce Nd Mo
8 4 2 2
direct
0.5495 0.0990 0.2500
0.4505 0.9010 0.7500
0.2656 0.5311 0.1290
0.2656 0.5311 0.3710
0.0000 0.0000 0.0000
0.7344 0.4689 0.6290
0.7344 0.4689 0.8710
0.0000 0.0000 0.5000
0.6323 0.2646 0.0443
0.3677 0.7354 0.5443
0.3677 0.7354 0.9557
0.6323 0.2646 0.4557
0.8789 0.7579 0.2500
0.1211 0.2421 0.7500
0.1422 0.2844 0.2500
0.8578 0.7156 0.7500
```

Calculated values
Crystal system: orthorhombic
Energy relative to the elements, uncorrected: -1.08 eV per atom
M_tot: 0.000 μB per formula unit
Volume: 123.6 Å³/f.u.
Calculated density: 7.74 g/cm³



CeNp2MoN4 | PBE | relaxed

POSCAR file:
```
CeNp2MoN4
1.0
3.3387 0.0000 0.0000
-1.6693 5.9049 0.0000
0.0000 0.0000 11.5804
Ce N Np Mo
2 8 4 2
direct
0.1141 0.2282 0.7500
0.8859 0.7718 0.2500
0.7292 0.4584 0.6197
0.0000 0.0000 0.5000
0.2708 0.5416 0.1197
0.4631 0.9262 0.7500
0.2708 0.5416 0.3803
0.7292 0.4584 0.8803
0.5369 0.0738 0.2500
0.0000 0.0000 0.0000
0.3687 0.7374 0.5480
0.6313 0.2626 0.0480
0.3687 0.7374 0.9520
0.6313 0.2626 0.4520
0.8523 0.7047 0.7500
0.1477 0.2953 0.2500
```

Calculated values
Crystal system: orthorhombic
Energy relative to the elements, uncorrected: -0.98 eV per atom
M_tot: 5.790 μB per formula unit
Volume: 114.2 Å³/f.u.
Calculated density: 11.14 g/cm³